# 1
Here is Hf4OsRu3 after structural relaxation from Alexandria via LeMat-Bulk. Energies are from PBE.

The structure belongs to space group Pmmm (No. 47); the cell edges are 3.2374, 4.5957 and 9.1891 Å and the angles 90.00°, 90.00° and 90.00°. The asymmetric unit holds Hf at (0.0000, 0.0000, 0.0000), Hf at (0.0000, 0.0000, 0.5000), Hf at (0.0000, 0.5000, 0.2503), Os at (0.5000, 0.5000, 0.0000), Ru at (0.5000, 0.0000, 0.2506) and Ru at (0.5000, 0.5000, 0.5000).

The calculation puts the electronic total energy at -10.649 eV per atom. For the energy of formation from the pure elements, the calculation gives -0.790 eV/atom. The crystal system is orthorhombic. The value obtained for the density of states at the Fermi level is 0.16 states/eV/atom.



# 2
Here is HfOs2Ru after structural relaxation from Alexandria via LeMat-Bulk. Energies are from PBE.

The structure belongs to space group I-42d (No. 122); the cell edges are 3.7902, 3.7902 and 19.1672 Å and the angles 90.00°, 90.00° and 90.00°. The asymmetric unit holds Hf at (0.0000, 0.0000, 0.0000), Os at (0.2110, 0.2500, 0.6250) and Ru at (0.0000, 0.0000, 0.5000).

The calculation puts the electronic total energy at -9.932 eV per atom. For the energy of formation from the pure elements, the calculation gives 0.491 eV/atom. The crystal system is tetragonal. The value obtained for the density of states at the Fermi level is 1.20 states/eV/atom.



# 3
Here is Hf6Os5Ru after structural relaxation from Alexandria via LeMat-Bulk. Energies are from PBE.

The structure belongs to space group Immm (No. 71); the cell edges are 4.6060, 6.4820 and 13.8198 Å and the angles 90.00°, 90.00° and 90.00°. The asymmetric unit holds Hf at (0.0000, 0.2502, 0.0000), Hf at (0.0000, 0.2499, 0.3334), Os at (0.0000, 0.0000, 0.1664), Os at (0.0000, 0.5000, 0.1667), Os at (0.0000, 0.5000, 0.5000) and Ru at (0.0000, 0.0000, 0.5000).

The calculation puts the electronic total energy at -11.153 eV per atom. For the energy of formation from the pure elements, the calculation gives -0.724 eV/atom. The crystal system is orthorhombic. The value obtained for the density of states at the Fermi level is 0.21 states/eV/atom.



# 4
Here is HfOsRu3 after structural relaxation from Alexandria via LeMat-Bulk. Energies are from PBE.

The structure belongs to space group Pm-3m (No. 221); the cell edges are 4.6402, 4.6402 and 4.6402 Å and the angles 90.00°, 90.00° and 90.00°. The asymmetric unit holds Hf at (0.0000, 0.0000, 0.0000), Os at (0.5000, 0.5000, 0.5000) and Ru at (0.0000, 0.5000, 0.5000).

The calculation puts the electronic total energy at -8.558 eV per atom. For the energy of formation from the pure elements, the calculation gives 1.244 eV/atom. The crystal system is cubic. The value obtained for the density of states at the Fermi level is 1.13 states/eV/atom.



# 5
Here is HfOs2Ru after structural relaxation from Alexandria via LeMat-Bulk. Energies are from PBE.

The structure belongs to space group Fm-3m (No. 225); the cell edges are 6.3414, 6.3414 and 6.3414 Å and the angles 90.00°, 90.00° and 90.00°. The asymmetric unit holds Hf at (0.0000, 0.0000, 0.0000), Os at (0.2500, 0.2500, 0.2500) and Ru at (0.0000, 0.0000, 0.5000).

The calculation puts the electronic total energy at -10.247 eV per atom. For the energy of formation from the pure elements, the calculation gives 0.175 eV/atom. The crystal system is cubic. The value obtained for the density of states at the Fermi level is 1.55 states/eV/atom.



# 6
Here is Hf3Os2Ru after structural relaxation from Alexandria via LeMat-Bulk. Energies are from PBE.

The structure belongs to space group P4/mmm (No. 123); the cell edges are 3.2432, 3.2432 and 9.7868 Å and the angles 90.00°, 90.00° and 90.00°. The asymmetric unit holds Hf at (0.0000, 0.0000, 0.0000), Hf at (0.0000, 0.0000, 0.3341), Os at (0.5000, 0.5000, 0.1676) and Ru at (0.5000, 0.5000, 0.5000).

The calculation puts the electronic total energy at -11.009 eV per atom. For the energy of formation from the pure elements, the calculation gives -0.743 eV/atom. The crystal system is tetragonal. The value obtained for the density of states at the Fermi level is 0.16 states/eV/atom.



Which of these has the highest electronic total energy?
HfOsRu3